Entry 1:
{
  "formula": "Ta2ReIr",
  "functional": "GGA-PBE",
  "state": "relaxed",
  "ef_mev_per_atom": -266.8,
  "dos_at_fermi_per_ev_atom": 0.80,
  "magnetic_moment_mub_per_atom": 0.000,
  "lattice": [[4.645, 0.000, 0.000], [0.000, 2.841, -0.106], [0.000, 0.807, 4.972]],
  "species": ["Ir", "Re", "Ta", "Ta"],
  "frac_coords": [[0.000, 0.631, 0.462], [0.500, 0.636, 0.791], [0.000, 0.000, 0.961], [0.500, 0.233, 0.286]]
}

Entry 2:
{
  "formula": "Ac6Ir2PtBr3",
  "functional": "GGA-PBE",
  "state": "relaxed",
  "dos_at_fermi_per_ev_atom": 0.40,
  "magnetic_moment_mub_per_atom": 0.000,
  "raw_formation_energy_mev_per_atom": -1257,
  "lattice": [[7.607, -0.002, 0.002], [-3.803, 6.588, 0.002], [-1.267, -2.194, 8.248]],
  "species": ["Ac", "Ac", "Ac", "Ac", "Ac", "Ac", "Ir", "Ir", "Pt", "Br", "Br", "Br"],
  "frac_coords": [[0.935, 0.595, 0.806], [0.724, 0.724, 0.194], [0.065, 0.405, 0.194], [0.595, 0.935, 0.806], [0.276, 0.276, 0.806], [0.405, 0.065, 0.194], [0.333, 0.667, 0.000], [0.667, 0.333, 0.000], [0.000, 0.000, 0.000], [0.168, 0.832, 0.500], [0.832, 0.168, 0.500], [0.500, 0.500, 0.500]]
}

Entry 3:
{
  "formula": "ZrSiSe2",
  "functional": "GGA-PBE",
  "state": "relaxed",
  "dos_at_fermi_per_ev_atom": 0.63,
  "magnetic_moment_mub_per_atom": 0.000,
  "raw_formation_energy_mev_per_atom": -444,
  "lattice": [[3.397, -0.001, 0.000], [0.001, 3.397, 0.000], [0.000, 0.000, 6.806]],
  "species": ["Se", "Se", "Si", "Zr"],
  "frac_coords": [[0.000, 0.000, 0.977], [0.000, 0.000, 0.523], [0.500, 0.500, 0.250], [0.500, 0.500, 0.750]]
}

Entry 4:
{
  "formula": "ScOs2Cl",
  "functional": "GGA-PBE",
  "state": "relaxed",
  "dos_at_fermi_per_ev_atom": 0.71,
  "magnetic_moment_mub_per_atom": 0.000,
  "e_above_lowest_polymorph_ev_per_atom": 0.3262,
  "raw_formation_energy_mev_per_atom": 212,
  "lattice": [[3.135, 0.000, 0.000], [0.000, 3.980, 0.000], [0.000, 0.000, 5.647]],
  "species": ["Cl", "Os", "Os", "Sc"],
  "frac_coords": [[0.000, 0.500, 0.500], [0.000, 0.000, 0.000], [0.500, 0.500, 0.000], [0.500, 0.000, 0.500]]
}

Entry 5:
{
  "formula": "Ni2PbSe3",
  "functional": "GGA-PBE",
  "state": "relaxed",
  "dos_at_fermi_per_ev_atom": 0.53,
  "magnetic_moment_mub_per_atom": 0.000,
  "raw_formation_energy_mev_per_atom": -288,
  "lattice": [[-6.722, -1.890, -0.931], [-3.853, -2.133, 5.498], [-5.219, 4.209, 2.488]],
  "species": ["Ni", "Ni", "Ni", "Ni", "Pb", "Pb", "Se", "Se", "Se", "Se", "Se", "Se"],
  "frac_coords": [[0.000, 0.000, 0.000], [0.500, 0.000, 0.000], [0.500, 0.500, 0.000], [0.000, 0.500, 0.000], [0.219, 0.219, 0.342], [0.781, 0.781, 0.658], [0.238, 0.735, 0.790], [0.735, 0.238, 0.790], [0.238, 0.238, 0.790], [0.265, 0.762, 0.210], [0.762, 0.265, 0.210], [0.762, 0.762, 0.210]]
}

Entry 6:
{
  "formula": "Ga6H",
  "functional": "GGA-PBE",
  "state": "relaxed",
  "total_energy_ev_per_cell": -17.422,
  "dos_at_fermi_per_ev_atom": 0.35,
  "magnetic_moment_mub_per_atom": 0.145,
  "lattice": [[-3.329, 3.195, 4.199], [-0.534, -6.111, 1.137], [5.998, 1.672, 0.393]],
  "species": ["Ga", "Ga", "Ga", "Ga", "Ga", "Ga", "H"],
  "frac_coords": [[0.250, 0.750, 0.500], [0.500, 0.750, 0.250], [0.250, 0.500, 0.750], [0.750, 0.250, 0.500], [0.500, 0.250, 0.750], [0.750, 0.500, 0.250], [0.000, 0.000, 0.000]]
}

Entry 7:
{
  "formula": "Tm2Sc3Cu3",
  "functional": "GGA-PBE",
  "state": "relaxed",
  "ef_mev_per_atom": -133.5,
  "dos_at_fermi_per_ev_atom": 0.96,
  "magnetic_moment_mub_per_atom": 0.000,
  "lattice": [[-2.594, 0.433, 2.129], [-2.937, -2.256, -3.119], [4.862, -7.801, 4.822]],
  "species": ["Tm", "Tm", "Sc", "Sc", "Sc", "Cu", "Cu", "Cu"],
  "frac_coords": [[0.277, 0.777, 0.553], [0.723, 0.223, 0.447], [0.386, 0.386, 0.771], [0.614, 0.614, 0.229], [0.500, 0.000, 0.000], [0.891, 0.891, 0.783], [0.000, 0.500, 0.000], [0.109, 0.109, 0.217]]
}

Entry 8:
{
  "formula": "NdDySiAg",
  "functional": "GGA-PBE",
  "state": "relaxed",
  "dos_at_fermi_per_ev_atom": 0.89,
  "magnetic_moment_mub_per_atom": 0.000,
  "raw_formation_energy_mev_per_atom": -423,
  "lattice": [[-2.811, 3.482, 2.521], [-5.128, -0.182, -0.235], [-2.713, -1.394, 4.133]],
  "species": ["Si", "Nd", "Ag", "Dy"],
  "frac_coords": [[0.750, 0.750, 0.750], [0.500, 0.500, 0.500], [0.250, 0.250, 0.250], [0.000, 0.000, 0.000]]
}

Entry 9:
{
  "formula": "BaAlCdHg2",
  "functional": "GGA-PBE",
  "state": "relaxed",
  "ef_mev_per_atom": -292.8,
  "dos_at_fermi_per_ev_atom": 0.58,
  "magnetic_moment_mub_per_atom": 0.000,
  "e_above_lowest_polymorph_ev_per_atom": 0.0000,
  "lattice": [[-3.267, 1.910, -2.805], [-3.284, -0.797, 3.282], [4.411, 5.058, 2.261]],
  "species": ["Ba", "Al", "Cd", "Hg", "Hg"],
  "frac_coords": [[0.000, 0.000, 0.000], [0.750, 0.250, 0.500], [0.250, 0.750, 0.500], [0.619, 0.619, 0.239], [0.381, 0.381, 0.761]]
}

Entry 10:
{
  "formula": "Cs2Hg3Br9",
  "functional": "GGA-PBE",
  "state": "relaxed",
  "dos_at_fermi_per_ev_atom": 0.45,
  "magnetic_moment_mub_per_atom": 0.000,
  "raw_formation_energy_mev_per_atom": -777,
  "lattice": [[-5.879, 9.241, -7.135], [6.898, -10.549, -3.464], [-6.556, -7.803, 5.762]],
  "species": ["Cs", "Cs", "Cs", "Cs", "Hg", "Hg", "Hg", "Hg", "Hg", "Hg", "Br", "Br", "Br", "Br", "Br", "Br", "Br", "Br", "Br", "Br", "Br", "Br", "Br", "Br", "Br", "Br", "Br", "Br"],
  "frac_coords": [[0.318, 0.184, 0.773], [0.682, 0.816, 0.227], [0.911, 0.546, 0.727], [0.089, 0.454, 0.273], [0.500, 0.000, 0.000], [0.500, 0.500, 0.500], [0.908, 0.195, 0.527], [0.092, 0.805, 0.473], [0.168, 0.381, 0.973], [0.832, 0.619, 0.027], [0.394, 0.966, 0.684], [0.606, 0.034, 0.316], [0.782, 0.709, 0.816], [0.218, 0.291, 0.184], [0.380, 0.501, 0.879], [0.620, 0.499, 0.121], [0.122, 0.501, 0.621], [0.878, 0.499, 0.379], [0.893, 0.143, 0.750], [0.107, 0.857, 0.250], [0.258, 0.935, 0.965], [0.742, 0.065, 0.035], [0.469, 0.292, 0.535], [0.531, 0.708, 0.465], [0.916, 0.793, 0.534], [0.084, 0.207, 0.466], [0.759, 0.382, 0.966], [0.241, 0.618, 0.034]]
}

Entry 11:
{
  "formula": "La5Hg2Ir2Au",
  "functional": "GGA-PBE",
  "state": "relaxed",
  "ef_mev_per_atom": -616.9,
  "dos_at_fermi_per_ev_atom": 0.96,
  "magnetic_moment_mub_per_atom": 0.000,
  "lattice": [[3.863, 0.000, 0.000], [0.000, 12.138, 0.000], [0.000, 0.000, 12.138]],
  "species": ["La", "La", "La", "La", "La", "La", "La", "La", "La", "La", "Hg", "Hg", "Hg", "Hg", "Ir", "Ir", "Ir", "Ir", "Au", "Au"],
  "frac_coords": [[0.500, 0.200, 0.083], [0.500, 0.800, 0.917], [0.500, 0.083, 0.800], [0.500, 0.700, 0.417], [0.500, 0.917, 0.200], [0.500, 0.300, 0.583], [0.500, 0.583, 0.700], [0.500, 0.417, 0.300], [0.500, 0.500, 0.000], [0.500, 0.000, 0.500], [0.000, 0.673, 0.173], [0.000, 0.327, 0.827], [0.000, 0.173, 0.327], [0.000, 0.827, 0.673], [0.000, 0.133, 0.633], [0.000, 0.867, 0.367], [0.000, 0.633, 0.867], [0.000, 0.367, 0.133], [0.000, 0.000, 0.000], [0.000, 0.500, 0.500]]
}

Entry 12:
{
  "formula": "Ba2SnAu",
  "functional": "GGA-PBE",
  "state": "relaxed",
  "ef_mev_per_atom": -648.6,
  "dos_at_fermi_per_ev_atom": 0.32,
  "magnetic_moment_mub_per_atom": 0.000,
  "lattice": [[4.015, 0.000, 0.000], [0.000, 4.015, 0.000], [0.000, 0.000, 8.787]],
  "species": ["Au", "Ba", "Ba", "Sn"],
  "frac_coords": [[0.500, 0.500, 0.000], [0.000, 0.000, 0.766], [0.000, 0.000, 0.234], [0.500, 0.500, 0.500]]
}

Entry 13:
{
  "formula": "Sm2Zn12Au7",
  "functional": "GGA-PBE",
  "state": "relaxed",
  "ef_mev_per_atom": -339.2,
  "dos_at_fermi_per_ev_atom": 0.32,
  "magnetic_moment_mub_per_atom": 0.000,
  "lattice": [[4.132, 0.000, 0.000], [0.000, 9.080, -5.242], [0.000, 0.000, 10.485]],
  "species": ["Sm", "Sm", "Zn", "Zn", "Zn", "Zn", "Zn", "Zn", "Zn", "Zn", "Zn", "Zn", "Zn", "Zn", "Au", "Au", "Au", "Au", "Au", "Au", "Au"],
  "frac_coords": [[0.248, 0.333, 0.667], [0.752, 0.667, 0.333], [0.249, 0.612, 0.043], [0.249, 0.431, 0.388], [0.249, 0.957, 0.569], [0.751, 0.388, 0.957], [0.751, 0.569, 0.612], [0.751, 0.043, 0.431], [0.240, 0.114, 0.263], [0.240, 0.149, 0.886], [0.240, 0.737, 0.851], [0.760, 0.886, 0.737], [0.760, 0.851, 0.114], [0.760, 0.263, 0.149], [0.500, 0.000, 0.000], [0.252, 0.869, 0.286], [0.252, 0.417, 0.131], [0.252, 0.714, 0.583], [0.748, 0.131, 0.714], [0.748, 0.583, 0.869], [0.748, 0.286, 0.417]]
}

Entry 14:
{
  "formula": "LaNd2Al3",
  "functional": "GGA-PBE",
  "state": "relaxed",
  "ef_mev_per_atom": -353.7,
  "dos_at_fermi_per_ev_atom": 0.37,
  "magnetic_moment_mub_per_atom": 0.000,
  "lattice": [[5.301, 0.000, 0.021], [2.650, 7.956, 0.010], [-0.029, 0.000, 7.526]],
  "species": ["La", "La", "Nd", "Nd", "Nd", "Nd", "Al", "Al", "Al", "Al", "Al", "Al"],
  "frac_coords": [[0.333, 0.333, 0.000], [0.667, 0.667, 0.000], [0.000, 0.000, 0.000], [0.000, 0.000, 0.500], [0.331, 0.338, 0.500], [0.669, 0.662, 0.500], [0.836, 0.329, 0.744], [0.500, 0.000, 0.257], [0.164, 0.671, 0.256], [0.836, 0.329, 0.256], [0.164, 0.671, 0.744], [0.500, 0.000, 0.743]]
}

Entry 15:
{
  "formula": "Tl5In3Hg12",
  "functional": "GGA-PBE",
  "state": "relaxed",
  "ef_mev_per_atom": 139.3,
  "dos_at_fermi_per_ev_atom": 0.77,
  "magnetic_moment_mub_per_atom": 0.000,
  "lattice": [[-5.682, -10.042, 10.095], [-3.239, -4.676, -14.236], [15.203, 0.943, 1.735]],
  "species": ["In", "In", "In", "In", "In", "In", "In", "In", "In", "In", "In", "In", "Tl", "Tl", "Tl", "Tl", "Tl", "Tl", "Tl", "Tl", "Tl", "Tl", "Tl", "Tl", "Tl", "Tl", "Tl", "Tl", "Tl", "Tl", "Tl", "Tl", "Hg", "Hg", "Hg", "Hg", "Hg", "Hg", "Hg", "Hg", "Hg", "Hg", "Hg", "Hg", "Hg", "Hg", "Hg", "Hg", "Hg", "Hg", "Hg", "Hg", "Hg", "Hg", "Hg", "Hg", "Hg", "Hg", "Hg", "Hg", "Hg", "Hg", "Hg", "Hg", "Hg", "Hg", "Hg", "Hg", "Hg", "Hg", "Hg", "Hg", "Hg", "Hg", "Hg", "Hg", "Hg", "Hg", "Hg", "Hg"],
  "frac_coords": [[0.750, 0.375, 0.125], [0.875, 0.750, 0.125], [0.375, 0.750, 0.625], [0.250, 0.125, 0.375], [0.875, 0.125, 0.250], [0.375, 0.625, 0.250], [0.625, 0.375, 0.750], [0.125, 0.875, 0.750], [0.750, 0.875, 0.625], [0.625, 0.250, 0.375], [0.125, 0.250, 0.875], [0.250, 0.625, 0.875], [0.125, 0.375, 0.250], [0.000, 0.500, 0.000], [0.000, 0.000, 0.000], [0.375, 0.250, 0.125], [0.500, 0.000, 0.500], [0.500, 0.500, 0.000], [0.125, 0.750, 0.375], [0.750, 0.125, 0.875], [0.750, 0.625, 0.375], [0.375, 0.125, 0.750], [0.625, 0.875, 0.250], [0.500, 0.500, 0.500], [0.500, 0.000, 0.000], [0.000, 0.000, 0.500], [0.250, 0.375, 0.625], [0.250, 0.875, 0.125], [0.000, 0.500, 0.500], [0.875, 0.250, 0.625], [0.625, 0.750, 0.875], [0.875, 0.625, 0.750], [0.737, 0.140, 0.070], [0.333, 0.570, 0.430], [0.930, 0.360, 0.263], [0.570, 0.237, 0.140], [0.597, 0.737, 0.667], [0.930, 0.570, 0.167], [0.333, 0.763, 0.403], [0.070, 0.903, 0.140], [0.570, 0.930, 0.667], [0.737, 0.597, 0.167], [0.763, 0.430, 0.360], [0.833, 0.930, 0.070], [0.140, 0.737, 0.570], [0.360, 0.430, 0.097], [0.097, 0.930, 0.360], [0.403, 0.140, 0.570], [0.097, 0.167, 0.237], [0.430, 0.667, 0.070], [0.833, 0.903, 0.263], [0.140, 0.403, 0.070], [0.360, 0.930, 0.763], [0.570, 0.640, 0.403], [0.930, 0.833, 0.570], [0.763, 0.333, 0.903], [0.430, 0.360, 0.597], [0.070, 0.167, 0.430], [0.237, 0.667, 0.097], [0.167, 0.097, 0.737], [0.640, 0.070, 0.237], [0.860, 0.597, 0.930], [0.570, 0.333, 0.930], [0.597, 0.860, 0.430], [0.903, 0.833, 0.763], [0.903, 0.070, 0.640], [0.860, 0.263, 0.430], [0.167, 0.070, 0.930], [0.640, 0.570, 0.903], [0.430, 0.070, 0.333], [0.263, 0.403, 0.833], [0.237, 0.570, 0.640], [0.930, 0.097, 0.860], [0.667, 0.237, 0.597], [0.430, 0.763, 0.860], [0.070, 0.430, 0.833], [0.403, 0.263, 0.333], [0.070, 0.640, 0.737], [0.667, 0.430, 0.570], [0.263, 0.860, 0.930]]
}